(1)
Material: LiCuSe
Method: DFT, GGA-PBE
State: optimized geometry

Lattice parameters (Å, degrees): 3.921 7.315 6.672 90.00 90.00 90.00
Positions (direct):
Se: 0.250 0.377 0.753
Li: 0.250 0.678 0.962
Se: 0.750 0.623 0.247
Li: 0.750 0.178 0.538
Cu: 0.250 0.445 0.380
Li: 0.750 0.322 0.038
Cu: 0.750 0.555 0.620
Se: 0.750 0.877 0.747
Cu: 0.250 0.055 0.880
Li: 0.250 0.822 0.462
Cu: 0.750 0.945 0.120
Se: 0.250 0.123 0.253

Output
Magnetization, μB per cell: 0.0
Final energy, eV per atom: -3.834
Volume, Å³ per cell: 191
Formation energy without anion corrections, eV/atom: -0.669

(2)
Material: Ba2Hf2Pt
Method: DFT, GGA-PBE
State: optimized geometry

Lattice parameters (Å, degrees): 4.153 4.153 9.086 76.79 76.79 90.00
Positions (direct):
Pt: 0.000 0.000 0.000
Ba: 0.250 0.750 0.500
Ba: 0.750 0.250 0.500
Hf: 0.427 0.427 0.146
Hf: 0.573 0.573 0.854

Output
Magnetization, μB per cell: 0.0
ΔH_f (0 K), meV per atom: 1057.5
Final energy, eV per atom: -4.901
Distance to the lowest polymorph of the same formula, kJ/mol of formula units: 472.4
Volume, Å³ per cell: 148

(3)
Material: AcPrHo2Er
Method: DFT, GGA-PBE
State: optimized geometry

Lattice parameters (Å, degrees): 6.477 6.464 9.405 110.10 90.00 90.00
Positions (direct):
Er: 0.250 0.255 0.510
Ac: 0.250 0.658 0.317
Ho: 0.500 0.249 0.000
Er: 0.750 0.745 0.490
Pr: 0.750 0.153 0.306
Ac: 0.750 0.342 0.683
Ho: 0.500 0.751 0.000
Ho: 0.000 0.249 0.000
Pr: 0.250 0.847 0.694
Ho: 0.000 0.751 0.000

Output
Magnetization, μB per cell: 0.0
ΔH_f (0 K), meV per atom: 388.0
Final energy, eV per atom: -4.133
Volume, Å³ per cell: 370

(4)
Material: Rb3NiAg2Cl6
Method: DFT, GGA-PBE
State: optimized geometry

Lattice parameters (Å, degrees): 7.541 7.541 8.132 90.00 90.00 120.00
Last column: magnetic moment on the atom in μB.
Positions (direct):
Cl: 0.847 0.695 0.683  0.02
Ag: 0.333 0.667 0.200  -0.01
Cl: 0.695 0.847 0.317  0.02
Rb: 0.000 0.000 0.000  0.00
Ag: 0.667 0.333 0.800  -0.01
Cl: 0.305 0.153 0.683  0.02
Cl: 0.153 0.847 0.317  0.02
Ni: 0.000 0.000 0.500  1.06
Cl: 0.847 0.153 0.683  0.02
Rb: 0.333 0.667 0.634  0.00
Rb: 0.667 0.333 0.366  0.00
Cl: 0.153 0.305 0.317  0.02

Output
Magnetization, μB per cell: 1.1
Final energy, eV per atom: -3.129
Volume, Å³ per cell: 401
Formation energy without anion corrections, eV/atom: -1.007

(5)
Material: TaSnP2O
Method: DFT, GGA-PBE
State: optimized geometry

Lattice parameters (Å, degrees): 4.995 4.995 3.882 90.00 90.00 90.00
Positions (direct):
O: 0.000 0.000 0.500
Ta: 0.000 0.000 0.000
P: 0.000 0.500 0.000
Sn: 0.500 0.500 0.500
P: 0.500 0.000 0.000

Output
Magnetization, μB per cell: 0.0
Final energy, eV per atom: -6.939
Distance to the lowest polymorph of the same formula, kJ/mol of formula units: 0.0
Volume, Å³ per cell: 97
Formation energy without anion corrections, eV/atom: -0.612

(6)
Material: Ho3Al3Ga8
Method: DFT, GGA-PBE
State: optimized geometry

Lattice parameters (Å, degrees): 4.185 8.392 8.392 71.50 75.56 75.56
Positions (direct):
Ga: 0.165 0.463 0.207
Al: 0.000 0.212 0.788
Al: 0.000 0.788 0.212
Ga: 0.362 0.917 0.358
Ho: 0.815 0.185 0.185
Ho: 0.500 0.500 0.500
Ga: 0.835 0.793 0.537
Ga: 0.638 0.642 0.083
Al: 0.500 0.000 0.000
Ga: 0.165 0.207 0.463
Ga: 0.835 0.537 0.793
Ga: 0.638 0.083 0.642
Ho: 0.185 0.815 0.815
Ga: 0.362 0.358 0.917

Output
Magnetization, μB per cell: 0.0
ΔH_f (0 K), meV per atom: -411.8
Final energy, eV per atom: -3.924
Volume, Å³ per cell: 266

(7)
Material: NaHf2Mo
Method: DFT, GGA-PBE
State: optimized geometry

Lattice parameters (Å, degrees): 4.812 4.812 4.812 60.00 60.00 60.00
Positions (direct):
Hf: 0.250 0.250 0.250
Mo: 0.500 0.500 0.500
Hf: 0.750 0.750 0.750
Na: 0.000 0.000 0.000

Output
Magnetization, μB per cell: 0.0
ΔH_f (0 K), meV per atom: 438.1
Final energy, eV per atom: -7.576
Distance to the lowest polymorph of the same formula, kJ/mol of formula units: 0.0
Volume, Å³ per cell: 79

(8)
Material: BeCdSi2
Method: DFT, GGA-PBE
State: optimized geometry

Lattice parameters (Å, degrees): 2.647 4.581 5.270 90.00 90.00 90.00
Positions (direct):
Si: 0.500 0.500 0.000
Be: 0.500 0.000 0.500
Si: 0.000 0.000 0.000
Cd: 0.000 0.500 0.500

Output
Magnetization, μB per cell: 0.0
Final energy, eV per atom: -3.259
Distance to the lowest polymorph of the same formula, kJ/mol of formula units: 92.7
Volume, Å³ per cell: 64
Formation energy without anion corrections, eV/atom: 0.613

(9)
Material: Ba3As2H
Method: DFT, GGA-PBE
State: optimized geometry

Lattice parameters (Å, degrees): 6.571 9.240 8.080 106.67 113.99 90.00
Positions (direct):
As: 0.336 0.416 0.666
Ba: 0.835 0.919 0.674
Ba: 0.522 0.750 0.000
H: 0.972 0.750 0.000
Ba: 0.839 0.419 0.674
Ba: 0.165 0.081 0.326
Ba: 0.478 0.250 0.000
H: 0.028 0.250 0.000
Ba: 0.161 0.581 0.326
As: 0.664 0.584 0.334
As: 0.330 0.916 0.666
As: 0.670 0.084 0.334

Output
Magnetization, μB per cell: 0.0
Final energy, eV per atom: -3.871
Volume, Å³ per cell: 426

(10)
Material: YTaTl2
Method: DFT, GGA-PBE
State: optimized geometry

Lattice parameters (Å, degrees): 5.490 5.490 3.236 90.00 90.00 107.90
Positions (direct):
Y: 0.500 0.000 0.500
Ta: 0.000 0.500 0.500
Tl: 0.500 0.500 0.000
Tl: 0.000 0.000 0.000

Output
Magnetization, μB per cell: 0.0
ΔH_f (0 K), meV per atom: 272.5
Final energy, eV per atom: -5.490
Volume, Å³ per cell: 93

(11)
Material: VSn2GeI
Method: DFT, GGA-PBE
State: optimized geometry

Lattice parameters (Å, degrees): 5.905 4.797 5.905 90.00 90.00 90.00
Positions (direct):
Sn: 0.000 0.000 0.500
I: 0.000 0.000 0.000
Ge: 0.500 0.500 0.500
V: 0.000 0.500 0.000
Sn: 0.500 0.000 0.000

Output
Magnetization, μB per cell: 0.0
Final energy, eV per atom: -3.275
Distance to the lowest polymorph of the same formula, kJ/mol of formula units: 71.6
Volume, Å³ per cell: 167
Formation energy without anion corrections, eV/atom: 1.383

(12)
Material: K2NbCdAg
Method: DFT, GGA-PBE
State: optimized geometry

Lattice parameters (Å, degrees): 6.270 5.453 6.270 90.00 90.00 90.00
Last column: magnetic moment on the atom in μB.
Positions (direct):
Nb: 0.000 0.500 0.000  2.79
Ag: 0.000 0.000 0.000  0.07
Cd: 0.500 0.500 0.500  0.01
K: 0.500 0.000 0.000  0.01
K: 0.000 0.000 0.500  0.01

Output
Magnetization, μB per cell: 4.3
ΔH_f (0 K), meV per atom: 943.7
Final energy, eV per atom: -2.262
Volume, Å³ per cell: 214